An optimized crystal structure of HgB2Cl. Source: the Alexandria database, functional PBE.

## Properties
- formation energy (no corrections) (meV per atom) = 1909
- total moment (μB/cell) = 0.00
- SG = No. 225
- D(E_F) (states/eV per atom) = 0.76
- uncorrected energy (eV per atom) = -1.97

CIF file:
```
data_HgB2Cl
_space_group_name_H-M_alt 'P 1'
_space_group_IT_number 1
_cell_length_a 4.520
_cell_length_b 4.520
_cell_length_c 4.520
_cell_angle_alpha 60.00
_cell_angle_beta 60.00
_cell_angle_gamma 60.00
loop_
_space_group_symop_operation_xyz
'x,y,z'
loop_
_atom_site_label
_atom_site_fract_x
_atom_site_fract_y
_atom_site_fract_z
B1 0.250 0.250 0.250
B2 0.750 0.750 0.750
Hg1 0.500 0.500 0.500
Cl1 0.000 0.000 0.000
```